Record 1
CaTlCu | GGA-PBE | relaxed

abc: 4.987 4.987 4.987
angles: 60.00 60.00 60.00
Atoms (fractional coordinates):
Tl (0.500, 0.500, 0.500)
Cu (0.000, 0.000, 0.000)
Ca (0.750, 0.750, 0.750)

Values from the calculation:
Its space group is F-43m (216). The density of states at the Fermi level comes out at 3.031 states/eV/f.u. The calculated volume is 87.68 Å³ per cell.

---

Record 2
Y3Al2Si3 | GGA-PBE | relaxed

abc: 4.166 5.777 14.854
angles: 90.00 90.00 111.14
Atoms (fractional coordinates):
Y (0.868, 0.736, 0.097)
Al (0.845, 0.690, 0.881)
Y (0.426, 0.853, 0.750)
Si (0.700, 0.399, 0.750)
Si (0.300, 0.601, 0.250)
Si (0.581, 0.163, 0.447)
Al (0.845, 0.690, 0.619)
Si (0.419, 0.837, 0.553)
Si (0.581, 0.163, 0.053)
Y (0.868, 0.736, 0.403)
Y (0.132, 0.264, 0.903)
Al (0.155, 0.310, 0.381)
Y (0.574, 0.147, 0.250)
Al (0.155, 0.310, 0.119)
Si (0.419, 0.837, 0.947)
Y (0.132, 0.264, 0.597)

Values from the calculation:
Its space group is Cmcm (63). The density of states at the Fermi level comes out at 3.573 states/eV/f.u. The value obtained for the formation energy (no corrections) is -599 meV per atom. The calculated volume is 333.42 Å³ per cell.

---

Record 3
HgMoS3 | GGA-PBE | relaxed

abc: 4.732 4.732 4.732
angles: 90.00 90.00 90.00
Atoms (fractional coordinates):
Mo (0.000, 0.000, 0.000)
S (0.000, 0.500, 0.000)
S (0.000, 0.000, 0.500)
Hg (0.500, 0.500, 0.500)
S (0.500, 0.000, 0.000)

Values from the calculation:
Its space group is Pm-3m (221). The density of states at the Fermi level comes out at 4.247 states/eV/f.u. The value obtained for the formation energy (no corrections) is 33 meV per atom. The calculated volume is 105.93 Å³ per cell.

---

| no. | raw total energy (eV/atom) |
| --- | --- |
| 1 | -2.49 |
| 2 | -5.99 |
| 3 | -4.67 |